No. 1
Compound: LiTmMg6Cd
Source: Alexandria via LeMat-Bulk
Functional: PBE
Structure: relaxed

Calculated values
* formation energy: 0.1294 eV/atom
* crystal system: orthorhombic
* density: 3.27 g/cm3

Geometry as POSCAR:
```
LiTmMg6Cd
1.0
-5.706 -3.927 -7.358
1.377 -6.511 2.407
-2.781 5.529 6.145
Li Tm Mg Cd
2 2 12 2
Direct
0.500 0.000 0.500
0.000 0.000 0.500
0.034 0.784 0.068
0.966 0.216 0.932
0.259 0.509 0.518
0.697 0.947 0.393
0.885 0.162 0.239
0.354 0.577 0.239
0.354 0.162 0.239
0.885 0.577 0.239
0.741 0.491 0.482
0.303 0.053 0.607
0.115 0.838 0.761
0.646 0.423 0.761
0.646 0.838 0.761
0.115 0.423 0.761
0.500 0.500 0.000
0.500 0.000 0.000
```


No. 2
Compound: LiYMg2Cd4
Source: Alexandria via LeMat-Bulk
Functional: PBE
Structure: relaxed

Calculated values
* formation energy: -0.2381 eV/atom
* crystal system: trigonal
* density: 5.59 g/cm3

Geometry as POSCAR:
```
LiYMg2Cd4
1.0
-3.137 3.754 -0.693
-4.092 -0.664 -2.689
-6.575 -1.180 5.757
Li Y Mg Cd
1 1 2 4
Direct
0.500 0.500 0.500
0.000 0.000 0.000
0.749 0.749 0.753
0.251 0.251 0.247
0.385 0.385 0.846
0.871 0.871 0.387
0.129 0.129 0.613
0.615 0.615 0.154
```


No. 3
Compound: Li2Mg4ZnCd2
Source: Alexandria via LeMat-Bulk
Functional: PBE
Structure: relaxed

Calculated values
* formation energy: -0.1323 eV/atom
* crystal system: triclinic
* density: 3.82 g/cm3

Geometry as POSCAR:
```
Li2Mg4ZnCd2
1.0
4.682 0.293 -0.052
-0.451 7.170 1.392
-2.158 -2.351 4.776
Li Mg Zn Cd
2 4 1 2
Direct
0.551 0.345 0.101
0.449 0.655 0.899
0.652 0.000 0.304
0.787 0.670 0.575
0.348 0.000 0.696
0.213 0.330 0.425
0.000 0.000 0.000
0.111 0.677 0.221
0.889 0.323 0.779
```


No. 4
Compound: LiMg3Zn2Cd3
Source: Alexandria via LeMat-Bulk
Functional: PBE
Structure: relaxed

Calculated values
* formation energy: -0.1157 eV/atom
* crystal system: hexagonal
* density: 5.23 g/cm3

Geometry as POSCAR:
```
LiMg3Zn2Cd3
1.0
-0.563 -2.435 -1.848
7.000 -3.284 2.193
-6.678 -1.618 4.168
Li Mg Zn Cd
1 3 2 3
Direct
0.000 0.000 0.000
0.000 0.630 0.630
0.000 0.000 0.370
0.000 0.370 0.000
0.500 0.667 0.333
0.500 0.333 0.667
0.500 0.702 0.000
0.500 0.000 0.702
0.500 0.298 0.298
```


No. 5
Compound: LiMg2ZnCd2
Source: Alexandria via LeMat-Bulk
Functional: PBE
Structure: relaxed

Calculated values
* formation energy: -0.1033 eV/atom
* crystal system: orthorhombic
* density: 4.85 g/cm3

Geometry as POSCAR:
```
LiMg2ZnCd2
1.0
4.225 0.000 0.000
0.000 6.273 0.000
0.000 0.000 8.939
Li Mg Zn Cd
2 4 2 4
Direct
0.000 0.871 0.487
0.000 0.371 0.513
0.500 0.135 0.000
0.000 0.392 0.184
0.500 0.635 0.000
0.000 0.892 0.816
0.500 0.131 0.666
0.500 0.631 0.334
0.000 0.380 0.831
0.500 0.137 0.352
0.000 0.880 0.169
0.500 0.637 0.648
```


No. 6
Compound: LiMg3ZnCd
Source: Alexandria via LeMat-Bulk
Functional: PBE
Structure: relaxed

Calculated values
* formation energy: -0.0952 eV/atom
* crystal system: orthorhombic
* density: 3.58 g/cm3

Geometry as POSCAR:
```
LiMg3ZnCd
1.0
3.677 0.000 0.000
-1.838 7.074 0.000
0.000 0.000 9.188
Li Mg Zn Cd
2 6 2 2
Direct
0.484 0.967 0.750
0.516 0.033 0.250
0.664 0.329 0.482
0.336 0.671 0.518
0.336 0.671 0.982
0.664 0.329 0.018
0.158 0.315 0.750
0.842 0.685 0.250
0.812 0.624 0.750
0.188 0.376 0.250
0.000 0.000 0.500
0.000 0.000 0.000
```


No. 7
Compound: Li5Mg2Zn2Cd
Source: Alexandria via LeMat-Bulk
Functional: PBE
Structure: relaxed

Calculated values
* formation energy: -0.1078 eV/atom
* crystal system: tetragonal
* density: 2.93 g/cm3

Geometry as POSCAR:
```
Li5Mg2Zn2Cd
1.0
4.237 0.000 0.000
0.000 9.342 0.000
0.000 0.000 9.342
Li Mg Zn Cd
10 4 4 2
Direct
0.500 0.205 0.070
0.500 0.795 0.930
0.500 0.070 0.795
0.500 0.705 0.430
0.500 0.930 0.205
0.500 0.295 0.570
0.500 0.570 0.705
0.500 0.430 0.295
0.500 0.500 0.000
0.500 0.000 0.500
0.000 0.680 0.180
0.000 0.320 0.820
0.000 0.180 0.320
0.000 0.820 0.680
0.000 0.113 0.613
0.000 0.887 0.387
0.000 0.613 0.887
0.000 0.387 0.113
0.000 0.000 0.000
0.000 0.500 0.500
```


No. 8
Compound: Li2Mg2Zn2Cd
Source: Alexandria via LeMat-Bulk
Functional: PBE
Structure: relaxed

Calculated values
* formation energy: -0.1502 eV/atom
* crystal system: monoclinic
* density: 4.13 g/cm3

Geometry as POSCAR:
```
Li2Mg2Zn2Cd
1.0
-0.109 2.475 -3.893
3.596 -2.812 0.846
-5.422 -3.937 -2.351
Li Mg Zn Cd
2 2 2 1
Direct
0.567 0.135 0.696
0.433 0.865 0.304
0.720 0.440 0.162
0.280 0.560 0.838
0.140 0.280 0.425
0.860 0.720 0.575
0.000 0.000 0.000
```


No. 9
Compound: LiMgZnCd
Source: Alexandria via LeMat-Bulk
Functional: PBE
Structure: relaxed

Calculated values
* formation energy: -0.0447 eV/atom
* crystal system: monoclinic
* density: 4.48 g/cm3

Geometry as POSCAR:
```
LiMgZnCd
1.0
3.153 0.000 0.000
-1.576 2.560 0.444
0.000 1.855 9.932
Li Mg Zn Cd
1 1 1 1
Direct
0.969 0.937 0.688
0.501 0.002 0.429
0.324 0.649 0.187
0.160 0.320 0.935
```


No. 10
Compound: Li3Mg3Zn2Cd
Source: Alexandria via LeMat-Bulk
Functional: PBE
Structure: relaxed

Calculated values
* formation energy: -0.1291 eV/atom
* crystal system: hexagonal
* density: 3.34 g/cm3

Geometry as POSCAR:
```
Li3Mg3Zn2Cd
1.0
3.036 0.000 0.000
0.000 7.988 0.000
0.000 -3.994 6.917
Li Mg Zn Cd
3 3 2 1
Direct
0.500 0.696 0.000
0.500 0.000 0.696
0.500 0.304 0.304
0.000 0.626 0.626
0.000 0.000 0.374
0.000 0.374 0.000
0.500 0.667 0.333
0.500 0.333 0.667
0.000 0.000 0.000
```


No. 11
Compound: Li2MgZn2Cd4
Source: Alexandria via LeMat-Bulk
Functional: PBE
Structure: relaxed

Calculated values
* formation energy: -0.1294 eV/atom
* crystal system: monoclinic
* density: 6.07 g/cm3

Geometry as POSCAR:
```
Li2MgZn2Cd4
1.0
-2.524 -0.259 -1.947
-3.064 -1.252 6.766
0.506 7.602 -1.670
Li Mg Zn Cd
2 1 2 4
Direct
0.862 0.724 0.326
0.138 0.276 0.674
0.000 0.000 0.000
0.326 0.652 0.006
0.674 0.348 0.994
0.803 0.606 0.675
0.197 0.394 0.325
0.523 0.046 0.335
0.477 0.954 0.665
```


No. 12
Compound: LiMgZnCd2
Source: Alexandria via LeMat-Bulk
Functional: PBE
Structure: relaxed

Calculated values
* formation energy: 0.1691 eV/atom
* crystal system: tetragonal
* density: 4.17 g/cm3
* energy above the lowest structure with this stoichiometry: 1.26 eV per formula unit

Geometry as POSCAR:
```
LiMgZnCd2
1.0
5.041 0.000 0.000
0.000 5.035 0.000
0.000 0.000 5.041
Zn Li Mg Cd
1 1 1 2
Direct
0.000 0.000 0.000
0.500 0.500 0.500
0.000 0.500 0.000
0.000 0.000 0.500
0.500 0.000 0.000
```